Entry 1:
The following is a DFT calculation (meta-GGA SCAN) of Zr2ScAs2 at its PBEsol-relaxed geometry.

Space group ... No. 127
Calculated density ... 6650 kg/m³
DFT formation energy ... -1174.9 meV/atom
Density of states at the Fermi level ... 6.10 states/eV per cell

Unit cell a=7.231 b=7.231 c=3.603 alpha=90.00 beta=90.00 gamma=90.00
Fractional coordinates of all 10 atoms:
Zr: 0.155 0.345 0.000
Zr: 0.345 0.845 0.000
Zr: 0.655 0.155 0.000
Zr: 0.845 0.655 0.000
Sc: 0.000 0.000 0.500
Sc: 0.500 0.500 0.500
As: 0.144 0.644 0.500
As: 0.356 0.144 0.500
As: 0.644 0.856 0.500
As: 0.856 0.356 0.500


Entry 2:
The following is a DFT calculation (meta-GGA SCAN) of Ba2NaSiGe at its PBEsol-relaxed geometry.

Space group ... No. 123
Calculated density ... 3423 kg/m³
Formation energy (no corrections) ... -0.1 eV per formula unit
Density of states at the Fermi level ... 3.07 states/eV per cell

Unit cell a=6.339 b=6.339 c=4.810 alpha=90.00 beta=90.00 gamma=90.00
Fractional coordinates of all 5 atoms:
Ba: 0.000 0.500 0.000
Ba: 0.500 0.000 0.000
Na: 0.000 0.000 0.500
Si: 0.500 0.500 0.000
Ge: 0.500 0.500 0.500


Entry 3:
The following is a DFT calculation (meta-GGA SCAN) of Hg4SbTe at its PBEsol-relaxed geometry.

Space group ... No. 216
Calculated density ... 11723 kg/m³
Formation energy (no corrections) ... 2.2 eV per formula unit
Density of states at the Fermi level ... 4.35 states/eV per cell

Unit cell a=5.950 b=5.950 c=5.950 alpha=60.00 beta=60.00 gamma=60.00
Fractional coordinates of all 6 atoms:
Hg: 0.125 0.125 0.125
Hg: 0.125 0.125 0.625
Hg: 0.125 0.625 0.125
Hg: 0.625 0.125 0.125
Sb: 0.500 0.500 0.500
Te: 0.750 0.750 0.750


The records above give, respectively, total DFT energy (no corrections) values of -243.78; -112.51; -344.95 eV for the cell shown.